A geometry-optimized NdHoNi2Ge2 structure. Source: Alexandria via LeMat-Bulk, functional GGA-PBE.

Computed properties:
ΔH_f (0 K) (eV per formula unit): -4.434

Lattice parameters (Å, degrees): 4.2599 4.2599 7.2629 90.00 90.00 120.00
Space group P-3m1 (No. 164)
Symmetry-distinct sites (fractional):
Nd1 0.0000 0.0000 0.0000 [1 per cell]
Ho1 0.0000 0.0000 0.5000 [1 per cell]
Ni1 0.3333 0.6667 0.7121 [2 per cell]
Ge1 0.3333 0.6667 0.2707 [2 per cell]


A geometry-optimized Nd2CdS structure. Source: Alexandria via LeMat-Bulk, functional GGA-PBE.

Computed properties:
Energy relative to the elements, uncorrected (meV per atom): -1101

Lattice parameters (Å, degrees): 4.0535 4.0535 23.4063 90.00 90.00 120.00
Space group R-3m (No. 166, hexagonal axes)
Symmetry-distinct sites (fractional):
Nd1 0.0000 0.0000 0.2363 [6 per cell]
Cd1 0.0000 0.0000 0.0000 [3 per cell]
S1 0.0000 0.0000 0.5000 [3 per cell]


A geometry-optimized Ac5Tb4Nd2 structure. Source: Alexandria via LeMat-Bulk, functional GGA-PBE.

Computed properties:
ΔH_f (0 K) (eV per formula unit): 1.361

Lattice parameters (Å, degrees): 25.418 3.765 9.047 90.00 95.80 90.00
Space group C2/m (No. 12)
Symmetry-distinct sites (fractional):
Ac1 0.000 0.000 0.000 [2 per cell]
Ac2 0.134 0.500 0.047 [4 per cell]
Ac3 0.182 0.500 0.476 [4 per cell]
Tb1 0.037 0.500 0.348 [4 per cell]
Tb2 0.226 0.000 0.829 [4 per cell]
Nd1 0.085 0.000 0.688 [4 per cell]